MoOsI2O | Alexandria | GGA+U | relaxed; SG = P4/mmm, No. 123; density of states at the Fermi level = 3.773 states/eV/f.u.; size of the total moment = 6.189 μB/f.u.; offset from the most stable computed form = 532.0 meV/atom
1.0
5.8349 0.0000 0.0000
0.0000 5.8349 0.0000
0.0000 0.0000 3.8323
Mo Os I O
1 1 2 1
Direct
0.0000 0.0000 0.0000 Mo
0.5000 0.5000 0.5000 Os
0.0000 0.5000 0.0000 I
0.5000 0.0000 0.0000 I
0.0000 0.0000 0.5000 O